(1)
# CuMoCl3 GGA-PBE relaxed
data_CuMoCl3
_cell_length_a 4.7612
_cell_length_b 4.7612
_cell_length_c 4.7612
_cell_angle_alpha 90.00
_cell_angle_beta 90.00
_cell_angle_gamma 90.00
_space_group_name_H-M_alt 'P m -3 m'
_space_group_IT_number 221
_space_group_name_Hall '-P 4 2 3'
loop_
_atom_site_label
_atom_site_type_symbol
_atom_site_fract_x
_atom_site_fract_y
_atom_site_fract_z
_atom_site_occupancy
Cu1 Cu 0.0000 0.0000 0.0000 1
Mo1 Mo 0.5000 0.5000 0.5000 1
Cl1 Cl 0.0000 0.0000 0.5000 1
# - Size of the total moment: 4.4 μB per cell
# - N(E_F): 1.341 states/eV per atom
# - Raw formation energy: 0.297 eV/atom
# - Calculated volume: 107.93 Å³/cell

(2)
# Ti4In2O GGA-PBE relaxed
data_Ti4In2O
_cell_length_a 4.0925
_cell_length_b 4.0925
_cell_length_c 14.5008
_cell_angle_alpha 90.00
_cell_angle_beta 90.00
_cell_angle_gamma 90.00
_space_group_name_H-M_alt 'I 4/m m m'
_space_group_IT_number 139
_space_group_name_Hall '-I 4 2'
loop_
_atom_site_label
_atom_site_type_symbol
_atom_site_fract_x
_atom_site_fract_y
_atom_site_fract_z
_atom_site_occupancy
Ti1 Ti 0.0000 0.0000 0.1488 1
Ti2 Ti 0.0000 0.5000 0.0000 1
In1 In 0.0000 0.0000 0.3495 1
O1 O 0.0000 0.0000 0.0000 1
# - Size of the total moment: 0.0 μB per cell
# - N(E_F): 0.526 states/eV per atom
# - Raw formation energy: -0.761 eV/atom
# - Calculated volume: 242.87 Å³/cell

(3)
# Y12Ga6Co GGA-PBE relaxed
data_Y12Ga6Co
_cell_length_a 12.7365
_cell_length_b 12.7365
_cell_length_c 11.9254
_cell_angle_alpha 90.00
_cell_angle_beta 90.00
_cell_angle_gamma 120.00
_space_group_name_H-M_alt 'R -3'
_space_group_IT_number 148
_space_group_name_Hall '-R 3'
loop_
_atom_site_label
_atom_site_type_symbol
_atom_site_fract_x
_atom_site_fract_y
_atom_site_fract_z
_atom_site_occupancy
Y1 Y 0.0352 0.8238 0.3939 1
Y2 Y 0.0458 0.8494 0.8845 1
Ga1 Ga 0.0507 0.7809 0.6471 1
Co1 Co 0.0000 0.0000 0.0000 1
# - Formation energy: -231 meV/atom
# - Size of the total moment: 0.0 μB per cell
# - N(E_F): 1.139 states/eV per atom
# - Calculated volume: 1675.35 Å³/cell

(4)
# NiAs2Rh GGA-PBE relaxed
data_NiAs2Rh
_cell_length_a 6.2176
_cell_length_b 6.2176
_cell_length_c 6.2176
_cell_angle_alpha 90.00
_cell_angle_beta 90.00
_cell_angle_gamma 90.00
_space_group_name_H-M_alt 'F -4 3 m'
_space_group_IT_number 216
_space_group_name_Hall 'F -4 2 3'
loop_
_atom_site_label
_atom_site_type_symbol
_atom_site_fract_x
_atom_site_fract_y
_atom_site_fract_z
_atom_site_occupancy
Ni1 Ni 0.0000 0.0000 0.0000 1
As1 As 0.0000 0.0000 0.5000 1
As2 As 0.2500 0.2500 0.7500 1
Rh1 Rh 0.2500 0.2500 0.2500 1
# - Formation energy: 260 meV/atom
# - Size of the total moment: 1.8 μB per cell
# - N(E_F): 1.569 states/eV per atom
# - Calculated volume: 240.36 Å³/cell

(5)
# AcScAlIr2 GGA-PBE relaxed
data_AcScAlIr2
_cell_length_a 4.2315
_cell_length_b 4.2315
_cell_length_c 11.8661
_cell_angle_alpha 90.00
_cell_angle_beta 90.00
_cell_angle_gamma 90.00
_space_group_name_H-M_alt 'I -4 m 2'
_space_group_IT_number 119
_space_group_name_Hall 'I -4 -2'
loop_
_atom_site_label
_atom_site_type_symbol
_atom_site_fract_x
_atom_site_fract_y
_atom_site_fract_z
_atom_site_occupancy
Ac1 Ac 0.0000 0.0000 0.0000 1
Sc1 Sc 0.0000 0.5000 0.7500 1
Al1 Al 0.0000 0.5000 0.2500 1
Ir1 Ir 0.0000 0.0000 0.3844 1
# - Formation energy: -860 meV/atom
# - Size of the total moment: 0.0 μB per cell
# - N(E_F): 0.667 states/eV per atom
# - Calculated volume: 212.47 Å³/cell

(6)
# ZnTcPb2 GGA-PBE relaxed
data_ZnTcPb2
_cell_length_a 3.6054
_cell_length_b 4.4557
_cell_length_c 5.5541
_cell_angle_alpha 90.00
_cell_angle_beta 108.86
_cell_angle_gamma 90.00
_space_group_name_H-M_alt 'P 1 m 1'
_space_group_IT_number 6
loop_
_space_group_symop_operation_xyz
'x,y,z'
'x,-y,z'
loop_
_atom_site_label
_atom_site_type_symbol
_atom_site_fract_x
_atom_site_fract_y
_atom_site_fract_z
_atom_site_occupancy
Zn1 Zn 0.0000 0.0000 0.0000 1
Tc1 Tc 0.8626 0.5000 0.7258 1
Pb1 Pb 0.2772 0.0000 0.5541 1
Pb2 Pb 0.5810 0.5000 0.1624 1
# - Formation energy: 355 meV/atom
# - Size of the total moment: 0.0 μB per cell
# - N(E_F): 0.655 states/eV per atom
# - Calculated volume: 84.43 Å³/cell